SnB PBE relaxed; M_tot = 0.0 μB per formula unit; calculated volume = 389 Å³ per cell; E_form = 737 meV/atom; symmetry = P4/m (83); crystal system = tetragonal; density = 4.43 g/cm3; energy relative to the lowest polymorph listed for this composition = 351 meV per atom
1.0
-4.3864 6.5354 -6.2334
-7.4238 1.3373 6.6262
1.9744 2.8805 1.6307
Sn B
8 8
direct
0.8038 0.4245 0.5000 Sn
0.1962 0.5755 0.5000 Sn
0.5755 0.8038 0.5000 Sn
0.4245 0.1962 0.5000 Sn
0.8603 0.6835 0.0000 Sn
0.1397 0.3165 0.0000 Sn
0.3165 0.8603 0.0000 Sn
0.6835 0.1397 0.0000 Sn
0.7468 0.6593 0.5000 B
0.2532 0.3407 0.5000 B
0.3407 0.7468 0.5000 B
0.6593 0.2532 0.5000 B
0.9412 0.4431 0.0000 B
0.0588 0.5569 0.0000 B
0.5569 0.9412 0.0000 B
0.4431 0.0588 0.0000 B

---

LiAsOs2Se PBE relaxed; M_tot = 0.0 μB per formula unit; calculated volume = 94 Å³ per cell; symmetry = P4/mmm (123); crystal system = tetragonal; density = 9.54 g/cm3
1.0
4.5690 0.0000 0.0000
0.0000 4.5153 0.0000
0.0000 0.0000 4.5690
As Os Se Li
1 2 1 1
direct
0.0000 0.0000 0.0000 As
0.0000 0.0000 0.5000 Os
0.5000 0.0000 0.0000 Os
0.5000 0.5000 0.5000 Se
0.0000 0.5000 0.0000 Li

---

| no. | calculated total energy (eV for the cell shown) |
| --- | --- |
| 1 | -73.653 |
| 2 | -27.329 |